(1)
Material: Tl4AgSe2
Method: DFT, PBE-GGA
State: optimized geometry

a b c (Å): 10.200 10.200 10.200
angles (deg): 29.59 29.59 29.59
Atoms (fractional coordinates):
Tl  0.124  0.124  0.124
Tl  0.294  0.294  0.294
Tl  0.706  0.706  0.706
Tl  0.876  0.876  0.876
Ag  0.500  0.500  0.500
Se  0.413  0.413  0.413
Se  0.587  0.587  0.587

(2)
Material: CsVAuCl6
Method: DFT, PBE-GGA
State: optimized geometry

a b c (Å): 6.369 7.192 7.214
angles (deg): 106.05 95.97 105.24
Atoms (fractional coordinates):
Cs  0.000  0.000  0.000
V  0.510  0.586  0.380
Au  0.589  0.189  0.663
Cl  0.221  0.397  0.464
Cl  0.320  0.675  0.159
Cl  0.440  0.866  0.676
Cl  0.573  0.332  0.156
Cl  0.743  0.512  0.652
Cl  0.834  0.826  0.421

(3)
Material: Ce3TmS6
Method: DFT, PBE-GGA
State: optimized geometry

a b c (Å): 6.783 7.404 12.059
angles (deg): 90.00 123.45 90.00
Atoms (fractional coordinates):
Ce  0.000  0.000  0.000
Ce  0.000  0.500  0.500
Ce  0.289  0.094  0.751
Ce  0.289  0.406  0.251
Ce  0.711  0.594  0.749
Ce  0.711  0.906  0.249
Tm  0.500  0.000  0.500
Tm  0.500  0.500  0.000
S  0.104  0.062  0.256
S  0.104  0.438  0.756
S  0.260  0.683  0.077
S  0.260  0.817  0.577
S  0.404  0.190  0.077
S  0.404  0.310  0.577
S  0.596  0.690  0.423
S  0.596  0.810  0.923
S  0.740  0.183  0.423
S  0.740  0.317  0.923
S  0.896  0.562  0.244
S  0.896  0.938  0.744

(4)
Material: MgTiGaPd
Method: DFT, PBE-GGA
State: optimized geometry

a b c (Å): 4.518 4.518 4.518
angles (deg): 60.00 60.00 60.00
Atoms (fractional coordinates):
Mg  0.000  0.000  0.000
Ti  0.500  0.500  0.500
Ga  0.250  0.250  0.250
Pd  0.750  0.750  0.750

(5)
Material: Ba5C
Method: DFT, PBE-GGA
State: optimized geometry

a b c (Å): 8.066 8.066 8.066
angles (deg): 60.00 60.00 60.00
Atoms (fractional coordinates):
Ba  0.000  0.000  0.000
Ba  0.125  0.625  0.625
Ba  0.625  0.125  0.625
Ba  0.625  0.625  0.125
Ba  0.625  0.625  0.625
C  0.250  0.250  0.250

Output
Relative energy among the computed polymorphs (meV/atom): 994

(6)
Material: Pu6SiAu
Method: DFT, PBE-GGA
State: optimized geometry

a b c (Å): 4.411 4.411 9.351
angles (deg): 90.00 90.00 90.00
Atoms (fractional coordinates):
Pu  0.000  0.000  0.000
Pu  0.000  0.000  0.500
Pu  0.000  0.500  0.229
Pu  0.000  0.500  0.771
Pu  0.500  0.000  0.229
Pu  0.500  0.000  0.771
Si  0.500  0.500  0.000
Au  0.500  0.500  0.500

Respective final energy values: -2.9445 -3.8181 -6.6657 -4.8989 -1.8034 -11.9750 eV per atom.
Respective M_tot values: 0.00 1.00 3.00 0.00 2.32 22.72 μB/f.u..